# TaTe2Rh

A relaxed TaTe2Rh crystal (PBEsol, Alexandria).

a b c (Å): 3.3204 3.3204 24.4492
angles (deg): 90.00 90.00 120.00
Space group R-3m (No. 166, hexagonal axes)
Asymmetric unit:
1 Ta 0.0000 0.0000 0.0000 x3
2 Te 0.0000 0.0000 0.2483 x6
3 Rh 0.0000 0.0000 0.5000 x3

Values from the calculation:
Its energy relative to the elements, uncorrected is 5.6 kJ/mol of atoms. The density of states at the Fermi level comes out at 0.48 states/eV per atom. The raw total energy is -6.877 eV per atom.

---

# TaTe2Rh

A relaxed TaTe2Rh crystal (PBEsol, Alexandria).

a b c (Å): 3.294 4.441 5.402
angles (deg): 90.00 90.00 90.00
Space group Pmmm (No. 47)
Asymmetric unit:
1 Ta 0.000 0.000 0.000 x1
2 Te 0.000 0.500 0.500 x1
3 Te 0.500 0.500 0.000 x1
4 Rh 0.500 0.000 0.500 x1

Values from the calculation:
Its energy relative to the elements, uncorrected is 40.9 kJ/mol of atoms. The density of states at the Fermi level comes out at 0.88 states/eV per atom. The raw total energy is -6.511 eV per atom.

---

# TaTe2Rh

A relaxed TaTe2Rh crystal (PBEsol, Alexandria).

a b c (Å): 3.923 3.929 6.460
angles (deg): 90.00 92.62 90.00
Space group Pm (No. 6)
Asymmetric unit:
1 Ta 0.000 0.000 0.000 x1
2 Te 0.056 0.500 0.709 x1
3 Te 0.506 0.000 0.296 x1
4 Rh 0.558 0.500 0.005 x1

Values from the calculation:
Its energy relative to the elements, uncorrected is -22.4 kJ/mol of atoms. The density of states at the Fermi level comes out at 0.50 states/eV per atom. The raw total energy is -7.167 eV per atom.